1.
The following is a DFT calculation (PBE) of ScGaBi2 after structural relaxation.

Cell: 4.048 4.048 6.318 Å, 90.00 90.00 90.00°
Element x y z (fractional)
Sc: 0.000 0.000 0.000
Ga: 0.000 0.000 0.500
Bi: 0.500 0.500 0.245
Bi: 0.500 0.500 0.755

Computed properties:
Energy of formation   -0.250 eV per atom
Final energy   -18.12 eV per cell
Calculated density   8.54 g/cm³
V   103.5 Å³/f.u.

***

2.
The following is a DFT calculation (PBE) of In12As3Br5 after structural relaxation.

Cell: 15.865 15.865 15.865 Å, 109.47 109.47 109.47°
Element x y z (fractional)
In: 0.061 0.725 0.659
In: 0.061 0.836 0.402
In: 0.066 0.225 0.164
In: 0.066 0.341 0.902
In: 0.098 0.664 0.439
In: 0.098 0.934 0.659
In: 0.159 0.225 0.561
In: 0.159 0.434 0.598
In: 0.164 0.066 0.225
In: 0.164 0.598 0.939
In: 0.225 0.164 0.066
In: 0.225 0.561 0.159
In: 0.275 0.341 0.939
In: 0.275 0.434 0.336
In: 0.336 0.275 0.434
In: 0.336 0.561 0.902
In: 0.341 0.902 0.066
In: 0.341 0.939 0.275
In: 0.402 0.061 0.836
In: 0.402 0.841 0.566
In: 0.434 0.336 0.275
In: 0.434 0.598 0.159
In: 0.439 0.098 0.664
In: 0.439 0.841 0.775
In: 0.561 0.159 0.225
In: 0.561 0.902 0.336
In: 0.566 0.402 0.841
In: 0.566 0.664 0.725
In: 0.598 0.159 0.434
In: 0.598 0.939 0.164
In: 0.659 0.061 0.725
In: 0.659 0.098 0.934
In: 0.664 0.439 0.098
In: 0.664 0.725 0.566
In: 0.725 0.566 0.664
In: 0.725 0.659 0.061
In: 0.775 0.439 0.841
In: 0.775 0.836 0.934
In: 0.836 0.402 0.061
In: 0.836 0.934 0.775
In: 0.841 0.566 0.402
In: 0.841 0.775 0.439
In: 0.902 0.066 0.341
In: 0.902 0.336 0.561
In: 0.934 0.659 0.098
In: 0.934 0.775 0.836
In: 0.939 0.164 0.598
In: 0.939 0.275 0.341
As: 0.125 0.250 0.375
As: 0.125 0.375 0.750
As: 0.250 0.375 0.125
As: 0.250 0.875 0.625
As: 0.375 0.125 0.250
As: 0.375 0.750 0.125
As: 0.625 0.250 0.875
As: 0.625 0.875 0.750
As: 0.750 0.125 0.375
As: 0.750 0.625 0.875
As: 0.875 0.625 0.250
As: 0.875 0.750 0.625
Br: 0.000 0.000 0.000
Br: 0.000 0.000 0.500
Br: 0.000 0.500 0.000
Br: 0.000 0.500 0.500
Br: 0.125 0.750 0.875
Br: 0.125 0.875 0.250
Br: 0.250 0.125 0.875
Br: 0.250 0.625 0.375
Br: 0.375 0.250 0.625
Br: 0.375 0.625 0.750
Br: 0.500 0.000 0.000
Br: 0.500 0.000 0.500
Br: 0.500 0.500 0.000
Br: 0.500 0.500 0.500
Br: 0.625 0.375 0.250
Br: 0.625 0.750 0.375
Br: 0.750 0.375 0.625
Br: 0.750 0.875 0.125
Br: 0.875 0.125 0.750
Br: 0.875 0.250 0.125

Computed properties:
Final energy   -227.04 eV per cell
Calculated density   4.33 g/cm³
Formation energy without anion corrections   -0.08 eV/atom
V   768.5 Å³/f.u.

***

3.
The following is a DFT calculation (PBE) of Ni2PtRh6 after structural relaxation.

Cell: 5.364 5.364 5.312 Å, 97.97 97.97 60.06°
Element x y z (fractional)
Ni: 0.085 0.085 0.374
Ni: 0.915 0.915 0.626
Pt: 0.500 0.500 0.500
Rh: 0.011 0.543 0.248
Rh: 0.268 0.732 0.000
Rh: 0.457 0.989 0.752
Rh: 0.543 0.011 0.248
Rh: 0.732 0.268 0.000
Rh: 0.989 0.457 0.752

Computed properties:
Energy of formation   0.309 eV per atom
Final energy   -58.93 eV per cell
Calculated density   11.81 g/cm³
V   130.7 Å³/f.u.

***

4.
The following is a DFT calculation (PBE) of Hf5TlGa2 after structural relaxation.

Cell: 8.069 8.069 8.069 Å, 126.36 126.36 79.29°
Element x y z (fractional)
Hf: 0.000 0.000 0.000
Hf: 0.005 0.505 0.809
Hf: 0.196 0.005 0.500
Hf: 0.304 0.804 0.809
Hf: 0.495 0.304 0.500
Hf: 0.500 0.500 0.000
Hf: 0.505 0.696 0.500
Hf: 0.696 0.196 0.191
Hf: 0.804 0.995 0.500
Hf: 0.995 0.495 0.191
Tl: 0.250 0.250 0.000
Tl: 0.750 0.750 0.000
Ga: 0.141 0.359 0.500
Ga: 0.359 0.859 0.218
Ga: 0.641 0.141 0.782
Ga: 0.859 0.641 0.500

Computed properties:
Energy of formation   -0.244 eV per atom
Final energy   -120.27 eV per cell
Calculated density   12.47 g/cm³
V   164.7 Å³/f.u.